Mn2TlNi | PBE | relaxed

Properties
Space-group type: R3m (160)
E_tot, eV per atom: -6.0769
E above lowest polymorph, meV/atom: 254
Density of states at the Fermi level, states/eV/atom: 0.59
Volume, Å³/f.u.: 64.94

POSCAR file:
```
Mn2TlNi
1.0
8.723 0.106 0.063
8.185 3.017 0.063
8.185 1.512 2.612
Mn Ni Tl
2 1 1
Cartesian
24.932 4.606 2.720
6.160 1.138 0.672
12.724 2.350 1.388
18.921 3.495 2.064
```

MnTl2Ni2 | PBE | relaxed

Properties
Space-group type: P4/mbm (127)
E_tot, eV per atom: -4.7875
Density of states at the Fermi level, states/eV/atom: 0.66
Volume, Å³/f.u.: 86.33

POSCAR file:
```
MnTl2Ni2
1.0
6.606 0.000 0.000
0.000 6.606 0.000
0.000 0.000 3.956
Ni Tl Mn
4 4 2
Cartesian
2.424 5.727 0.000
5.727 4.183 0.000
4.183 0.880 0.000
0.880 2.424 0.000
1.142 4.445 1.978
4.445 5.465 1.978
5.465 2.161 1.978
2.161 1.142 1.978
0.000 0.000 0.000
3.303 3.303 0.000
```

Tm2MnNi9 | PBE | relaxed

Properties
Space-group type: R-3m (166)
E_tot, eV per atom: -6.0704
Density of states at the Fermi level, states/eV/atom: 0.99
Volume, Å³/f.u.: 163.86

POSCAR file:
```
Tm2MnNi9
1.0
-1.670 -4.449 -1.043
2.937 -3.858 0.404
-1.847 -3.701 7.392
Tm Mn Ni
2 1 9
Cartesian
0.343 -8.687 2.457
-0.923 -3.321 4.296
0.000 0.000 0.000
-1.002 -9.239 6.965
0.422 -2.769 -0.212
-0.290 -6.004 3.376
0.078 -4.375 1.541
-0.762 -6.610 1.017
1.553 -6.313 1.744
-0.657 -7.633 5.212
-2.133 -5.695 5.009
0.182 -5.398 5.736
```

TmMnNi | PBE | relaxed

Properties
Space-group type: Fmmm (69)
E_tot, eV per atom: -6.4401
Density of states at the Fermi level, states/eV/atom: 0.85
Volume, Å³/f.u.: 52.54

POSCAR file:
```
TmMnNi
1.0
5.409 -0.282 0.000
-2.838 4.613 0.000
-1.286 -2.166 4.351
Tm Mn Ni
2 2 2
Cartesian
2.535 1.424 0.000
0.036 2.908 0.000
1.286 2.166 2.823
0.000 0.000 1.528
2.704 -0.141 2.175
-1.419 2.307 2.175
```

Tm3MnNi8 | PBE | relaxed

Properties
Space-group type: R3m (160)
E_tot, eV per atom: -6.1409
Density of states at the Fermi level, states/eV/atom: 0.91
Volume, Å³/f.u.: 171.49

POSCAR file:
```
Tm3MnNi8
1.0
-4.343 1.683 -1.664
-3.009 -3.001 -2.532
-5.986 -2.726 5.513
Tm Mn Ni
3 1 8
Cartesian
-7.974 -2.865 3.210
-7.432 -1.369 -4.041
-6.610 -1.983 0.543
-8.725 -2.205 -1.513
-6.523 -0.244 -1.622
-8.824 -3.933 0.653
-4.339 -1.090 -0.785
-10.984 -3.096 -0.174
-3.990 -1.434 1.610
-10.661 -3.457 2.273
-5.852 -2.599 -2.058
-9.488 -1.604 1.084
```

TmMnNi10 | PBE | relaxed

Properties
Space-group type: Pmmm (47)
E_tot, eV per atom: -6.0515
Density of states at the Fermi level, states/eV/atom: 1.10
Volume, Å³/f.u.: 155.06

POSCAR file:
```
TmMnNi10
1.0
3.986 0.000 0.000
0.000 4.739 0.000
0.000 0.000 8.211
Tm Mn Ni
1 1 10
Cartesian
0.000 0.000 0.000
0.000 2.369 4.105
0.000 0.000 2.807
0.000 2.369 6.734
0.000 2.369 1.476
0.000 0.000 5.403
1.993 0.000 4.105
1.993 2.369 0.000
1.993 1.190 2.084
1.993 3.549 6.127
1.993 3.549 2.084
1.993 1.190 6.127
```

TmMn2Ni6 | PBE | relaxed

Properties
Space-group type: Immm (71)
E_tot, eV per atom: -6.3528
Density of states at the Fermi level, states/eV/atom: 1.09
Volume, Å³/f.u.: 120.13

POSCAR file:
```
TmMn2Ni6
1.0
2.806 0.000 0.000
0.000 6.814 0.000
-1.403 -3.407 6.283
Tm Mn Ni
1 2 6
Cartesian
0.000 3.407 0.000
1.403 3.407 4.458
0.000 0.000 1.825
1.403 4.671 2.242
0.000 -1.264 4.041
0.000 1.264 4.041
1.403 1.158 0.000
1.403 5.656 0.000
1.403 2.142 2.242
```

Tm2Mn2Ni15 | PBE | relaxed

Properties
Space-group type: R-3m (166)
E_tot, eV per atom: -6.2243
Density of states at the Fermi level, states/eV/atom: 1.05
Volume, Å³/f.u.: 241.34

POSCAR file:
```
Tm2Mn2Ni15
1.0
-4.634 -3.475 2.413
1.608 -5.451 -2.659
3.200 -2.355 4.856
Tm Mn Ni
2 2 15
Cartesian
0.060 -3.902 1.595
0.114 -7.379 3.015
0.018 -1.152 0.471
0.157 -10.130 4.140
-2.317 -1.738 1.206
1.600 -1.178 2.428
0.804 -2.726 -1.329
2.083 -4.529 -0.419
-2.774 -4.064 0.902
0.866 -2.689 4.128
-0.252 -4.862 -1.148
-2.300 -3.141 3.141
2.726 -3.278 2.617
2.426 -5.648 1.813
-1.483 -6.207 0.594
-0.688 -4.662 4.344
-2.252 -5.633 2.797
1.657 -5.074 4.017
0.863 -6.619 0.267
```

Tm2MnZn12Ni3 | PBE | relaxed

Properties
Space-group type: R-3m (166)
E_tot, eV per atom: -2.5696
Density of states at the Fermi level, states/eV/atom: 0.51
Volume, Å³/f.u.: 352.60

POSCAR file:
```
Tm2MnZn12Ni3
1.0
7.388 -0.656 -0.466
3.078 6.748 -0.466
3.078 1.792 6.523
Tm Mn Zn Ni
2 1 12 3
Cartesian
8.080 4.703 3.336
5.464 3.180 2.256
0.000 0.000 0.000
5.658 3.293 5.220
10.087 5.872 1.653
8.026 7.042 4.995
8.025 1.949 1.383
10.087 3.501 4.995
5.658 6.015 1.383
7.886 4.590 0.372
3.456 2.012 3.939
5.517 0.841 0.597
5.519 5.934 4.209
3.456 4.382 0.597
7.886 1.868 4.209
3.694 -0.328 -0.233
1.539 3.374 -0.233
1.539 0.896 3.261
```

Tm2Mn2ZnNi5 | PBE | relaxed

Properties
Space-group type: P4/mbm (127)
E_tot, eV per atom: -5.9083
Density of states at the Fermi level, states/eV/atom: 0.64
Volume, Å³/f.u.: 148.51

POSCAR file:
```
Tm2Mn2ZnNi5
1.0
3.612 0.000 0.000
0.000 9.068 0.000
0.000 0.000 9.068
Tm Mn Zn Ni
4 4 2 10
Cartesian
0.000 6.162 1.627
0.000 2.907 7.441
0.000 1.627 2.907
0.000 7.441 6.162
0.000 1.082 5.617
0.000 7.986 3.452
0.000 5.617 7.986
0.000 3.452 1.082
0.000 0.000 0.000
0.000 4.534 4.534
1.806 1.851 0.535
1.806 7.217 8.533
1.806 0.535 7.217
1.806 6.385 3.999
1.806 8.533 1.851
1.806 2.683 5.069
1.806 5.069 6.385
1.806 3.999 2.683
1.806 4.534 0.000
1.806 0.000 4.534
```

U2MnNi9 | PBE | relaxed

Properties
Space-group type: P4/mmm (123)
E_tot, eV per atom: -7.1086
E above lowest polymorph, meV/atom: 0
Density of states at the Fermi level, states/eV/atom: 1.19
Volume, Å³/f.u.: 159.01

POSCAR file:
```
U2MnNi9
1.0
3.794 0.000 0.000
0.000 3.794 0.000
0.000 0.000 11.046
U Mn Ni
2 1 9
Cartesian
0.000 0.000 3.548
0.000 0.000 7.498
0.000 0.000 0.000
1.897 1.897 0.000
1.897 1.897 3.638
1.897 1.897 7.408
1.897 0.000 1.727
1.897 0.000 5.523
1.897 0.000 9.318
0.000 1.897 1.727
0.000 1.897 5.523
0.000 1.897 9.318
```

U2Mn2Ni15 | PBE | relaxed

Properties
Space-group type: R-3m (166)
E_tot, eV per atom: -6.6674
Density of states at the Fermi level, states/eV/atom: 1.35
Volume, Å³/f.u.: 251.64

POSCAR file:
```
U2Mn2Ni15
1.0
-5.162 3.498 -1.324
-2.655 -3.873 -4.312
-4.132 -2.964 3.845
U Mn Ni
2 2 15
Cartesian
-2.815 -0.787 -0.422
-9.134 -2.552 -1.369
-4.820 -1.347 -0.723
-7.129 -1.992 -1.069
-2.581 1.749 -0.662
-2.066 -1.482 1.922
-1.328 -1.936 -2.156
-3.163 -3.560 -1.506
-4.300 0.962 -2.352
-4.486 -0.741 2.067
-3.518 -1.337 -3.284
-4.808 1.275 0.454
-3.624 -3.277 1.039
-5.478 -3.942 -0.553
-5.980 -0.788 -3.075
-6.701 -0.344 0.905
-6.472 0.603 -1.239
-5.969 -2.551 1.284
-5.248 -2.994 -2.697
```